1.
An optimized crystal structure of NaSe2S2. Source: the Alexandria database, functional GGA-PBE.

The space group is P4/mbm (No. 127) and the conventional cell measures 8.1415, 8.1415 and 3.9846 Å, with angles of 90.00, 90.00 and 90.00 degrees. The asymmetric unit holds Na at (0.0000, 0.0000, 0.0000), Se at (0.1885, 0.3115, 0.5000) and S at (0.2071, 0.7071, 0.0000).

The value obtained for the total magnetic moment is 0.00 Bohr magnetons per cell. The energy relative to the elements, uncorrected is -148 meV per atom. The total energy comes out at -34.6 eV/cell.

2.
An optimized crystal structure of Mn5Ga4Pd3. Source: the Alexandria database, functional GGA-PBE.

The space group is P-6m2 (No. 187) and the conventional cell measures 4.3417, 4.3417 and 10.6800 Å, with angles of 90.00, 90.00 and 120.00 degrees. The asymmetric unit holds Mn at (0.0000, 0.0000, 0.0000), Mn at (0.3333, 0.6667, 0.1206), Mn at (0.3333, 0.6667, 0.3761), Ga at (0.0000, 0.0000, 0.2504), Ga at (0.6667, 0.3333, 0.0000), Ga at (0.6667, 0.3333, 0.5000), Pd at (0.0000, 0.0000, 0.5000) and Pd at (0.6667, 0.3333, 0.2449).

The value obtained for the total magnetic moment is 16.72 Bohr magnetons per cell. The total energy comes out at -76.3 eV/cell. The formation energy comes out at -2.81 eV/f.u.

3.
An optimized crystal structure of Sm2HoErTl4. Source: the Alexandria database, functional GGA-PBE.

The space group is R-3m (No. 166, hexagonal axes) and the conventional cell measures 5.3983, 5.3983 and 26.5048 Å, with angles of 90.00, 90.00 and 120.00 degrees. The asymmetric unit holds Sm at (0.0000, 0.0000, 0.2499), Ho at (0.0000, 0.0000, 0.0000), Er at (0.0000, 0.0000, 0.5000), Tl at (0.0000, 0.0000, 0.1251) and Tl at (0.0000, 0.0000, 0.3751).

The value obtained for the total magnetic moment is 0.00 Bohr magnetons per cell. The total energy comes out at -92.4 eV/cell. The formation energy comes out at -2.77 eV/f.u.

4.
An optimized crystal structure of Ca3MgP. Source: the Alexandria database, functional GGA-PBE.

The space group is C2/m (No. 12) and the conventional cell measures 17.8933, 3.9535 and 8.4137 Å, with angles of 90.00, 90.53 and 90.00 degrees. The asymmetric unit holds Ca at (0.0110, 0.0000, 0.2655), Ca at (0.1433, 0.5000, 0.5479), Ca at (0.2208, 0.0000, 0.1686), Mg at (0.0917, 0.5000, 0.9853) and P at (0.1555, 0.0000, 0.8275).

The value obtained for the total magnetic moment is 0.00 Bohr magnetons per cell. The total energy comes out at -61.2 eV/cell. The formation energy comes out at -2.29 eV/f.u.

5.
An optimized crystal structure of BaSc2B. Source: the Alexandria database, functional GGA-PBE.

The space group is R-3m (No. 166, hexagonal axes) and the conventional cell measures 3.6348, 3.6348 and 29.2982 Å, with angles of 90.00, 90.00 and 120.00 degrees. The asymmetric unit holds Ba at (0.0000, 0.0000, 0.0000), Sc at (0.0000, 0.0000, 0.1259) and B at (0.0000, 0.0000, 0.5000).

The value obtained for the total magnetic moment is 0.00 Bohr magnetons per cell. The total energy comes out at -61.9 eV/cell. The formation energy comes out at 0.62 eV/f.u.

6.
An optimized crystal structure of Tl2FeAs. Source: the Alexandria database, functional GGA-PBE.

The space group is I-42d (No. 122) and the conventional cell measures 9.7608, 9.7608 and 4.3849 Å, with angles of 90.00, 90.00 and 90.00 degrees. The asymmetric unit holds Tl at (0.1002, 0.2500, 0.1250), Fe at (0.0000, 0.0000, 0.0000) and As at (0.0000, 0.0000, 0.5000).

The value obtained for the total magnetic moment is 0.00 Bohr magnetons per cell. The total energy comes out at -66.4 eV/cell. The formation energy comes out at 1.24 eV/f.u.

7.
An optimized crystal structure of Sr2Tl. Source: the Alexandria database, functional GGA-PBE.

The space group is Cmcm (No. 63) and the conventional cell measures 4.1165, 19.4534 and 6.0840 Å, with angles of 90.00, 90.00 and 90.00 degrees. The asymmetric unit holds Sr at (0.0000, 0.0756, 0.2500), Sr at (0.0000, 0.2132, 0.7500) and Tl at (0.0000, 0.4273, 0.2500).

The value obtained for the total magnetic moment is 0.00 Bohr magnetons per cell. The total energy comes out at -26.2 eV/cell. The formation energy comes out at -0.81 eV/f.u.

8.
An optimized crystal structure of PuHfTiN3. Source: the Alexandria database, functional GGA-PBE.

The space group is P2_1/m (No. 11) and the conventional cell measures 6.8103, 3.1729 and 8.0439 Å, with angles of 90.00, 91.85 and 90.00 degrees. The asymmetric unit holds Pu at (0.1308, 0.2500, 0.1736), Hf at (0.3752, 0.7500, 0.8648), Ti at (0.1516, 0.2500, 0.5722), N at (0.1451, 0.7500, 0.4222), N at (0.1523, 0.2500, 0.8483) and N at (0.3969, 0.7500, 0.1253).

The value obtained for the total magnetic moment is 9.73 Bohr magnetons per cell. The energy relative to the elements, uncorrected is -1299 meV per atom. The total energy comes out at -129.9 eV/cell.

9.
An optimized crystal structure of SmUB4. Source: the Alexandria database, functional GGA-PBE.

The space group is Pbam (No. 55) and the conventional cell measures 6.1651, 12.0305 and 4.0778 Å, with angles of 90.00, 90.00 and 90.00 degrees. The asymmetric unit holds Sm at (0.1228, 0.1561, 0.0000), U at (0.1241, 0.4214, 0.0000), B at (0.0182, 0.6938, 0.5000), B at (0.1208, 0.5508, 0.5000), B at (0.1293, 0.9689, 0.5000) and B at (0.2032, 0.8122, 0.5000).

The value obtained for the total magnetic moment is 0.00 Bohr magnetons per cell. The total energy comes out at -176.4 eV/cell. The formation energy comes out at -1.38 eV/f.u.

10.
An optimized crystal structure of Ho2MgFe. Source: the Alexandria database, functional GGA-PBE.

The space group is R-3m (No. 166, hexagonal axes) and the conventional cell measures 3.4171, 3.4171 and 30.9558 Å, with angles of 90.00, 90.00 and 120.00 degrees. The asymmetric unit holds Ho at (0.0000, 0.0000, 0.1073), Mg at (0.0000, 0.0000, 0.0000) and Fe at (0.0000, 0.0000, 0.5000).

The value obtained for the total magnetic moment is 3.47 Bohr magnetons per cell. The total energy comes out at -53.8 eV/cell. The formation energy comes out at 1.28 eV/f.u.

11.
An optimized crystal structure of HoCdRu. Source: the Alexandria database, functional GGA-PBE.

The space group is C2/m (No. 12) and the conventional cell measures 11.9789, 4.3925 and 5.1577 Å, with angles of 90.00, 100.27 and 90.00 degrees. The asymmetric unit holds Ho at (0.1340, 0.0000, 0.3302), Cd at (0.0727, 0.5000, 0.7672) and Ru at (0.2213, 0.0000, 0.8801).

The value obtained for the total magnetic moment is 0.00 Bohr magnetons per cell. The total energy comes out at -61.2 eV/cell. The formation energy comes out at -0.53 eV/f.u.

12.
An optimized crystal structure of SiPbSe. Source: the Alexandria database, functional GGA-PBE.

The space group is F-43m (No. 216) and the conventional cell measures 6.7956, 6.7956 and 6.7956 Å, with angles of 90.00, 90.00 and 90.00 degrees. The asymmetric unit holds Si at (0.0000, 0.0000, 0.0000), Pb at (0.2500, 0.2500, 0.2500) and Se at (0.2500, 0.2500, 0.7500).

The value obtained for the total magnetic moment is 0.00 Bohr magnetons per cell. The energy relative to the elements, uncorrected is 393 meV per atom. The total energy comes out at -45.7 eV/cell.

13.
An optimized crystal structure of K2InGaI. Source: the Alexandria database, functional GGA-PBE.

The space group is P4/mmm (No. 123) and the conventional cell measures 6.4510, 6.4510 and 6.2127 Å, with angles of 90.00, 90.00 and 90.00 degrees. The asymmetric unit holds K at (0.0000, 0.5000, 0.0000), In at (0.0000, 0.0000, 0.5000), Ga at (0.5000, 0.5000, 0.5000) and I at (0.5000, 0.5000, 0.0000).

The value obtained for the total magnetic moment is 0.00 Bohr magnetons per cell. The energy relative to the elements, uncorrected is -20 meV per atom. The total energy comes out at -9.6 eV/cell.